Entry 1:
# Ta2SnRuI (PBEsol, optimized geometry)
# Uncorrected energy   -32.44 eV per formula unit
# Formation energy without anion corrections   1.77 eV per atom
# Spin magnetization   0.00 μB per cell
data_Ta2SnRuI
_chemical_formula_sum 'Ta2 Sn1 Ru1 I1'
_space_group_name_H-M_alt 'P 1'
_space_group_IT_number 1
_space_group_name_Hall 'P 1'
_cell_length_a 4.9712
_cell_length_b 4.9712
_cell_length_c 4.6856
_cell_angle_alpha 90.00
_cell_angle_beta 90.00
_cell_angle_gamma 90.00
loop_
_atom_site_label
_atom_site_fract_x
_atom_site_fract_y
_atom_site_fract_z
Ta1 0.0000 0.5000 0.0000
Ta2 0.5000 0.0000 0.0000
Sn1 0.0000 0.0000 0.5000
Ru1 0.5000 0.5000 0.5000
I1 0.5000 0.5000 0.0000

Entry 2:
# ZrZnHg (PBEsol, optimized geometry)
# Polymorph energy (0 for the lowest one)   0.041 eV/atom
# Formation enthalpy at 0 K   -223 meV/atom
# Uncorrected energy   -11.91 eV per formula unit
# Spin magnetization   0.00 μB per cell
data_ZrZnHg
_chemical_formula_sum 'Zr1 Zn1 Hg1'
_space_group_name_H-M_alt 'P 1'
_space_group_IT_number 1
_space_group_name_Hall 'P 1'
_cell_length_a 6.2104
_cell_length_b 6.2104
_cell_length_c 6.2104
_cell_angle_alpha 151.26
_cell_angle_beta 151.26
_cell_angle_gamma 41.09
loop_
_atom_site_label
_atom_site_fract_x
_atom_site_fract_y
_atom_site_fract_z
Zr1 0.0000 0.0000 0.0000
Zn1 0.3416 0.3416 0.0000
Hg1 0.6867 0.6867 0.0000

Entry 3:
# Rb3BaO (PBEsol, optimized geometry)
# Uncorrected energy   -11.58 eV per formula unit
# Formation energy without anion corrections   -0.22 eV per atom
# Spin magnetization   1.02 μB per cell
data_Rb3BaO
_chemical_formula_sum 'Rb3 Ba1 O1'
_space_group_name_H-M_alt 'P 1'
_space_group_IT_number 1
_space_group_name_Hall 'P 1'
_cell_length_a 5.9840
_cell_length_b 5.9840
_cell_length_c 5.9840
_cell_angle_alpha 90.00
_cell_angle_beta 90.00
_cell_angle_gamma 90.00
loop_
_atom_site_label
_atom_site_fract_x
_atom_site_fract_y
_atom_site_fract_z
Rb1 0.0000 0.0000 0.5000
Rb2 0.0000 0.5000 0.0000
Rb3 0.5000 0.0000 0.0000
Ba1 0.5000 0.5000 0.5000
O1 0.0000 0.0000 0.0000

Entry 4:
# Mg2ZrPb (PBEsol, optimized geometry)
# Formation enthalpy at 0 K   -93 meV/atom
# Uncorrected energy   -16.90 eV per formula unit
# Spin magnetization   0.00 μB per cell
data_Mg2ZrPb
_chemical_formula_sum 'Mg2 Zr1 Pb1'
_space_group_name_H-M_alt 'P 1'
_space_group_IT_number 1
_space_group_name_Hall 'P 1'
_cell_length_a 5.3261
_cell_length_b 3.1808
_cell_length_c 5.6669
_cell_angle_alpha 90.00
_cell_angle_beta 110.12
_cell_angle_gamma 90.00
loop_
_atom_site_label
_atom_site_fract_x
_atom_site_fract_y
_atom_site_fract_z
Mg1 0.0000 0.0000 0.0000
Mg2 0.5000 0.5000 0.0000
Zr1 0.0000 0.5000 0.5000
Pb1 0.5000 0.0000 0.5000

Entry 5:
# ScHF2 (PBEsol, optimized geometry)
# Polymorph energy (0 for the lowest one)   0.000 eV/atom
# Uncorrected energy   -23.09 eV per formula unit
# Spin magnetization   0.00 μB per cell
data_ScHF2
_chemical_formula_sum 'Sc1 H1 F2'
_space_group_name_H-M_alt 'P 1'
_space_group_IT_number 1
_space_group_name_Hall 'P 1'
_cell_length_a 3.6715
_cell_length_b 3.6715
_cell_length_c 3.6715
_cell_angle_alpha 60.00
_cell_angle_beta 60.00
_cell_angle_gamma 60.00
loop_
_atom_site_label
_atom_site_fract_x
_atom_site_fract_y
_atom_site_fract_z
Sc1 0.0000 0.0000 0.0000
H1 0.5000 0.5000 0.5000
F1 0.2500 0.2500 0.2500
F2 0.7500 0.7500 0.7500

Entry 6:
# NiTeOs2 (PBEsol, optimized geometry)
# Uncorrected energy   -31.72 eV per formula unit
# Formation energy without anion corrections   0.60 eV per atom
# Spin magnetization   0.00 μB per cell
data_NiTeOs2
_chemical_formula_sum 'Ni1 Te1 Os2'
_space_group_name_H-M_alt 'P 1'
_space_group_IT_number 1
_space_group_name_Hall 'P 1'
_cell_length_a 4.5565
_cell_length_b 4.5565
_cell_length_c 4.8269
_cell_angle_alpha 99.22
_cell_angle_beta 99.22
_cell_angle_gamma 37.77
loop_
_atom_site_label
_atom_site_fract_x
_atom_site_fract_y
_atom_site_fract_z
Ni1 0.0000 0.0000 0.0000
Te1 0.7531 0.7531 0.2322
Os1 0.2555 0.2555 0.7677
Os2 0.5098 0.5098 0.5524

Entry 7:
# Cu2Pt (PBEsol, optimized geometry)
# Polymorph energy (0 for the lowest one)   0.066 eV/atom
# Formation enthalpy at 0 K   -59 meV/atom
# Uncorrected energy   -15.81 eV per formula unit
# Spin magnetization   0.00 μB per cell
data_Cu2Pt
_chemical_formula_sum 'Cu2 Pt1'
_space_group_name_H-M_alt 'P 1'
_space_group_IT_number 1
_space_group_name_Hall 'P 1'
_cell_length_a 4.1058
_cell_length_b 4.1058
_cell_length_c 2.6130
_cell_angle_alpha 90.00
_cell_angle_beta 90.00
_cell_angle_gamma 120.00
loop_
_atom_site_label
_atom_site_fract_x
_atom_site_fract_y
_atom_site_fract_z
Cu1 0.3333 0.6667 0.0876
Cu2 0.6667 0.3333 0.9124
Pt1 0.0000 0.0000 0.5000

Entry 8:
# AsRuPb2 (PBEsol, optimized geometry)
# Formation enthalpy at 0 K   587 meV/atom
# Uncorrected energy   -20.93 eV per formula unit
# Spin magnetization   0.00 μB per cell
data_AsRuPb2
_chemical_formula_sum 'As1 Ru1 Pb2'
_space_group_name_H-M_alt 'P 1'
_space_group_IT_number 1
_space_group_name_Hall 'P 1'
_cell_length_a 5.1710
_cell_length_b 5.1710
_cell_length_c 5.1710
_cell_angle_alpha 128.20
_cell_angle_beta 128.20
_cell_angle_gamma 76.30
loop_
_atom_site_label
_atom_site_fract_x
_atom_site_fract_y
_atom_site_fract_z
As1 0.0000 0.0000 0.0000
Ru1 0.5000 0.5000 0.0000
Pb1 0.2500 0.7500 0.5000
Pb2 0.7500 0.2500 0.5000